(1)
Computed, not measured: a relaxed structure of SrLaCuSe3 at the PBE-GGA level of DFT.

**Total magnetization**: 0.00 Bohr magnetons per cell
**Total energy**: -119.081 eV for the cell shown
**V**: 654 Å³/cell

Cell: 19.077 4.222 8.375 Å, 90.00 104.22 90.00°
Space group C2/m (No. 12)
One atom of each set of equivalent atoms:
Sr: 0.120 0.000 0.069 (multiplicity 4)
La: 0.162 0.000 0.588 (multiplicity 4)
Cu: 0.038 0.500 0.709 (multiplicity 4)
Se: 0.000 0.000 0.500 (multiplicity 2)
Se: 0.000 0.500 0.000 (multiplicity 2)
Se: 0.169 0.500 0.839 (multiplicity 4)
Se: 0.175 0.500 0.346 (multiplicity 4)


(2)
Computed, not measured: a relaxed structure of SrLaCuSe3 at the PBE-GGA level of DFT.

**Total magnetization**: 0.01 Bohr magnetons per cell
**Total energy**: -120.748 eV for the cell shown
**V**: 665 Å³/cell

Cell: 13.927 4.183 11.421 Å, 90.00 90.00 90.00°
Space group Pnma (No. 62)
One atom of each set of equivalent atoms:
Sr: 0.218 0.250 0.039 (multiplicity 4)
La: 0.014 0.250 0.326 (multiplicity 4)
Cu: 0.007 0.750 0.084 (multiplicity 4)
Se: 0.099 0.750 0.893 (multiplicity 4)
Se: 0.115 0.250 0.562 (multiplicity 4)
Se: 0.142 0.750 0.229 (multiplicity 4)


(3)
Computed, not measured: a relaxed structure of SrLaCuSe3 at the PBE-GGA level of DFT.

**Total magnetization**: 0.00 Bohr magnetons per cell
**Total energy**: -121.186 eV for the cell shown
**V**: 608 Å³/cell

Cell: 8.543 4.287 16.613 Å, 90.00 90.00 90.00°
Space group Pnma (No. 62)
One atom of each set of equivalent atoms:
Sr: 0.091 0.250 0.215 (multiplicity 4)
La: 0.242 0.750 0.460 (multiplicity 4)
Cu: 0.122 0.250 0.634 (multiplicity 4)
Se: 0.009 0.250 0.403 (multiplicity 4)
Se: 0.122 0.750 0.064 (multiplicity 4)
Se: 0.178 0.250 0.781 (multiplicity 4)


(4)
Computed, not measured: a relaxed structure of SrLaCuTeSe2 at the PBE-GGA level of DFT.

**Total magnetization**: 0.00 Bohr magnetons per cell
**Total energy**: -117.287 eV for the cell shown
**V**: 701 Å³/cell

Cell: 4.248 14.083 11.710 Å, 90.00 90.00 90.00°
Space group Cmcm (No. 63)
One atom of each set of equivalent atoms:
Sr: 0.000 0.226 0.250 (multiplicity 4)
La: 0.000 0.000 0.000 (multiplicity 4)
Cu: 0.000 0.474 0.750 (multiplicity 4)
Te: 0.000 0.090 0.750 (multiplicity 4)
Se: 0.000 0.366 0.583 (multiplicity 8)


(5)
Computed, not measured: a relaxed structure of LaCuTeSe at the PBE-GGA level of DFT.

**Total magnetization**: 0.00 Bohr magnetons per cell
**Total energy**: -80.716 eV for the cell shown
**V**: 402 Å³/cell

Cell: 6.663 7.920 7.633 Å, 90.00 94.52 90.00°
Space group P2_1/c (No. 14)
One atom of each set of equivalent atoms:
La: 0.159 0.033 0.281 (multiplicity 4)
Cu: 0.445 0.659 0.457 (multiplicity 4)
Te: 0.378 0.105 0.724 (multiplicity 4)
Se: 0.093 0.727 0.500 (multiplicity 4)


(6)
Computed, not measured: a relaxed structure of La2TlCuSe4 at the PBE-GGA level of DFT.

**Total magnetization**: 0.01 Bohr magnetons per cell
**Total energy**: -164.202 eV for the cell shown
**V**: 933 Å³/cell

Cell: 4.295 14.701 14.772 Å, 90.00 90.00 90.00°
Space group Cmcm (No. 63)
One atom of each set of equivalent atoms:
La: 0.000 0.135 0.063 (multiplicity 8)
Tl: 0.000 0.393 0.250 (multiplicity 4)
Cu: 0.000 0.339 0.750 (multiplicity 4)
Se: 0.000 0.069 0.250 (multiplicity 4)
Se: 0.000 0.235 0.617 (multiplicity 8)
Se: 0.000 0.500 0.000 (multiplicity 4)


(7)
Computed, not measured: a relaxed structure of LaTmCuSe3 at the PBE-GGA level of DFT.

**Total magnetization**: 0.02 Bohr magnetons per cell
**Total energy**: -129.678 eV for the cell shown
**V**: 560 Å³/cell

Cell: 4.010 13.434 10.395 Å, 90.00 90.00 90.00°
Space group Cmcm (No. 63)
One atom of each set of equivalent atoms:
La: 0.000 0.238 0.250 (multiplicity 4)
Tm: 0.000 0.000 0.000 (multiplicity 4)
Cu: 0.000 0.474 0.750 (multiplicity 4)
Se: 0.000 0.085 0.750 (multiplicity 4)
Se: 0.000 0.359 0.566 (multiplicity 8)


(8)
Computed, not measured: a relaxed structure of LaCuSi at the PBE-GGA level of DFT.

**Total magnetization**: 0.00 Bohr magnetons per cell
**Total energy**: -31.855 eV for the cell shown
**V**: 128 Å³/cell

Cell: 4.2502 4.2502 8.2061 Å, 90.00 90.00 120.00°
Space group P6_3/mmc (No. 194)
One atom of each set of equivalent atoms:
La: 0.0000 0.0000 0.0000 (multiplicity 2)
Cu: 0.3333 0.6667 0.2500 (multiplicity 2)
Si: 0.3333 0.6667 0.7500 (multiplicity 2)


(9)
Computed, not measured: a relaxed structure of LaSmCu2Si2 at the PBE-GGA level of DFT.

**Total magnetization**: 0.01 Bohr magnetons per cell
**Total energy**: -31.713 eV for the cell shown
**V**: 122 Å³/cell

Cell: 4.2181 4.2181 7.9407 Å, 90.00 90.00 120.00°
Space group P-3m1 (No. 164)
One atom of each set of equivalent atoms:
La: 0.0000 0.0000 0.0000 (multiplicity 1)
Sm: 0.0000 0.0000 0.5000 (multiplicity 1)
Cu: 0.3333 0.6667 0.2639 (multiplicity 2)
Si: 0.3333 0.6667 0.7395 (multiplicity 2)


(10)
Computed, not measured: a relaxed structure of La2TbCu4Si4 at the PBE-GGA level of DFT.

**Total magnetization**: 0.00 Bohr magnetons per cell
**Total energy**: -115.564 eV for the cell shown
**V**: 412 Å³/cell

Cell: 4.128 4.160 23.992 Å, 90.00 90.00 90.00°
Space group Immm (No. 71)
One atom of each set of equivalent atoms:
La: 0.000 0.000 0.150 (multiplicity 4)
Tb: 0.000 0.500 0.500 (multiplicity 2)
Cu: 0.000 0.000 0.405 (multiplicity 4)
Cu: 0.000 0.500 0.250 (multiplicity 4)
Si: 0.000 0.000 0.304 (multiplicity 4)
Si: 0.000 0.500 0.049 (multiplicity 4)


(11)
Computed, not measured: a relaxed structure of LaYCu2Si2 at the PBE-GGA level of DFT.

**Total magnetization**: 0.00 Bohr magnetons per cell
**Total energy**: -33.608 eV for the cell shown
**V**: 120 Å³/cell

Cell: 4.1788 4.1788 7.9400 Å, 90.00 90.00 120.00°
Space group P-3m1 (No. 164)
One atom of each set of equivalent atoms:
La: 0.0000 0.0000 0.0000 (multiplicity 1)
Y: 0.0000 0.0000 0.5000 (multiplicity 1)
Cu: 0.3333 0.6667 0.7350 (multiplicity 2)
Si: 0.3333 0.6667 0.2654 (multiplicity 2)


(12)
Computed, not measured: a relaxed structure of La3Zn2Cu2Si4 at the PBE-GGA level of DFT.

**Total magnetization**: 0.01 Bohr magnetons per cell
**Offset from the most stable computed form**: 10 meV per atom
**Total energy**: -106.175 eV for the cell shown
**V**: 439 Å³/cell

Cell: 4.200 4.246 24.607 Å, 90.00 90.00 90.00°
Space group Immm (No. 71)
One atom of each set of equivalent atoms:
La: 0.000 0.000 0.000 (multiplicity 2)
La: 0.000 0.500 0.354 (multiplicity 4)
Zn: 0.000 0.000 0.250 (multiplicity 4)
Cu: 0.000 0.500 0.094 (multiplicity 4)
Si: 0.000 0.000 0.451 (multiplicity 4)
Si: 0.000 0.500 0.190 (multiplicity 4)